! FeBi2Rh2 PBE optimized geometry; values from VASP
! Energy   -5.978 eV per atom
! Crystal system   tetragonal
! N(E_F)   12.9 states/eV per cell
! M_tot   7.157 μB/cell
! ΔH_f (0 K)   207.0 meV/atom
! Space group   P4/mbm, No. 127
&SYSTEM
  ibrav = 0, nat = 10, ntyp = 3
/
ATOMIC_SPECIES
Rh 102.91 Rh.upf
Bi 208.98 Bi.upf
Fe 55.84 Fe.upf
CELL_PARAMETERS angstrom
6.958 0.000 0.000
0.000 6.958 0.000
0.000 0.000 4.087
ATOMIC_POSITIONS crystal
Rh 0.357 0.857 0.000
Rh 0.857 0.643 0.000
Rh 0.643 0.143 0.000
Rh 0.143 0.357 0.000
Bi 0.167 0.667 0.500
Bi 0.667 0.833 0.500
Bi 0.833 0.333 0.500
Bi 0.333 0.167 0.500
Fe 0.000 0.000 0.000
Fe 0.500 0.500 0.000